[1]
Below is Fe2CoTe after structural relaxation, with properties calculated at the GGA-PBEsol level.

M_tot: 5.942 μB per formula unit
E_form (uncorrected): 0.361 eV per atom
DFT total energy: -6.9370 eV/atom

The structure in CIF format:
```
data_Fe2CoTe
_chemical_formula_sum 'Fe2 Co1 Te1'
_symmetry_space_group_name_H-M 'P m m m'
_symmetry_Int_Tables_number 47
_cell_length_a 3.039
_cell_length_b 3.541
_cell_length_c 5.046
_cell_angle_alpha 90.00
_cell_angle_beta 90.00
_cell_angle_gamma 90.00
loop_
_symmetry_equiv_pos_as_xyz
'x,y,z'
'-x,-y,-z'
'-x,-y,z'
'x,y,-z'
'x,-y,-z'
'-x,y,z'
'-x,y,-z'
'x,-y,z'
loop_
_atom_site_label
_atom_site_type_symbol
_atom_site_fract_x
_atom_site_fract_y
_atom_site_fract_z
Fe1 Fe 0.000 0.000 0.227
Co1 Co 0.500 0.500 0.000
Te1 Te 0.500 0.500 0.500
```

[2]
Below is FeCo2Te after structural relaxation, with properties calculated at the GGA-PBEsol level.

M_tot: 4.341 μB per formula unit
E_form (uncorrected): 0.333 eV per atom
DFT total energy: -6.6575 eV/atom

The structure in CIF format:
```
data_FeCo2Te
_chemical_formula_sum 'Fe1 Co2 Te1'
_symmetry_space_group_name_H-M 'P 4 m m'
_symmetry_Int_Tables_number 99
_cell_length_a 3.243
_cell_length_b 3.243
_cell_length_c 5.096
_cell_angle_alpha 90.00
_cell_angle_beta 90.00
_cell_angle_gamma 90.00
loop_
_symmetry_equiv_pos_as_xyz
'x,y,z'
'-y,x,z'
'-x,-y,z'
'y,-x,z'
'-x,y,z'
'y,x,z'
'x,-y,z'
'-y,-x,z'
loop_
_atom_site_label
_atom_site_type_symbol
_atom_site_fract_x
_atom_site_fract_y
_atom_site_fract_z
Fe1 Fe 0.000 0.000 0.000
Co1 Co 0.000 0.000 0.539
Co2 Co 0.500 0.500 0.813
Te1 Te 0.500 0.500 0.317
```

[3]
Below is FeCo2Te after structural relaxation, with properties calculated at the GGA-PBEsol level.

M_tot: 4.186 μB per formula unit
E_form (uncorrected): 0.256 eV per atom
DFT total energy: -6.7346 eV/atom

The structure in CIF format:
```
data_FeCo2Te
_chemical_formula_sum 'Fe4 Co8 Te4'
_symmetry_space_group_name_H-M 'F -4 3 m'
_symmetry_Int_Tables_number 216
_symmetry_space_group_name_Hall 'F -4 2 3'
_cell_length_a 5.868
_cell_length_b 5.868
_cell_length_c 5.868
_cell_angle_alpha 90.00
_cell_angle_beta 90.00
_cell_angle_gamma 90.00
loop_
_atom_site_label
_atom_site_type_symbol
_atom_site_fract_x
_atom_site_fract_y
_atom_site_fract_z
Fe1 Fe 0.000 0.000 0.000
Co1 Co 0.000 0.000 0.500
Co2 Co 0.250 0.250 0.750
Te1 Te 0.250 0.250 0.250
```

Q: DFT total energy of number 3 (FeCo2Te)?
A: -6.7346 eV/atom

What did the second record say?
Below is FeCo2Te after structural relaxation, with properties calculated at the GGA-PBEsol level.

M_tot: 4.341 μB per formula unit
E_form (uncorrected): 0.333 eV per atom
DFT total energy: -6.6575 eV/atom

The structure in CIF format:
```
data_FeCo2Te
_chemical_formula_sum 'Fe1 Co2 Te1'
_symmetry_space_group_name_H-M 'P 4 m m'
_symmetry_Int_Tables_number 99
_cell_length_a 3.243
_cell_length_b 3.243
_cell_length_c 5.096
_cell_angle_alpha 90.00
_cell_angle_beta 90.00
_cell_angle_gamma 90.00
loop_
_symmetry_equiv_pos_as_xyz
'x,y,z'
'-y,x,z'
'-x,-y,z'
'y,-x,z'
'-x,y,z'
'y,x,z'
'x,-y,z'
'-y,-x,z'
loop_
_atom_site_label
_atom_site_type_symbol
_atom_site_fract_x
_atom_site_fract_y
_atom_site_fract_z
Fe1 Fe 0.000 0.000 0.000
Co1 Co 0.000 0.000 0.539
Co2 Co 0.500 0.500 0.813
Te1 Te 0.500 0.500 0.317
```

Repeat the first record exactly.
Below is Fe2CoTe after structural relaxation, with properties calculated at the GGA-PBEsol level.

M_tot: 5.942 μB per formula unit
E_form (uncorrected): 0.361 eV per atom
DFT total energy: -6.9370 eV/atom

The structure in CIF format:
```
data_Fe2CoTe
_chemical_formula_sum 'Fe2 Co1 Te1'
_symmetry_space_group_name_H-M 'P m m m'
_symmetry_Int_Tables_number 47
_cell_length_a 3.039
_cell_length_b 3.541
_cell_length_c 5.046
_cell_angle_alpha 90.00
_cell_angle_beta 90.00
_cell_angle_gamma 90.00
loop_
_symmetry_equiv_pos_as_xyz
'x,y,z'
'-x,-y,-z'
'-x,-y,z'
'x,y,-z'
'x,-y,-z'
'-x,y,z'
'-x,y,-z'
'x,-y,z'
loop_
_atom_site_label
_atom_site_type_symbol
_atom_site_fract_x
_atom_site_fract_y
_atom_site_fract_z
Fe1 Fe 0.000 0.000 0.227
Co1 Co 0.500 0.500 0.000
Te1 Te 0.500 0.500 0.500
```

Repeat the second record exactly.
Below is FeCo2Te after structural relaxation, with properties calculated at the GGA-PBEsol level.

M_tot: 4.341 μB per formula unit
E_form (uncorrected): 0.333 eV per atom
DFT total energy: -6.6575 eV/atom

The structure in CIF format:
```
data_FeCo2Te
_chemical_formula_sum 'Fe1 Co2 Te1'
_symmetry_space_group_name_H-M 'P 4 m m'
_symmetry_Int_Tables_number 99
_cell_length_a 3.243
_cell_length_b 3.243
_cell_length_c 5.096
_cell_angle_alpha 90.00
_cell_angle_beta 90.00
_cell_angle_gamma 90.00
loop_
_symmetry_equiv_pos_as_xyz
'x,y,z'
'-y,x,z'
'-x,-y,z'
'y,-x,z'
'-x,y,z'
'y,x,z'
'x,-y,z'
'-y,-x,z'
loop_
_atom_site_label
_atom_site_type_symbol
_atom_site_fract_x
_atom_site_fract_y
_atom_site_fract_z
Fe1 Fe 0.000 0.000 0.000
Co1 Co 0.000 0.000 0.539
Co2 Co 0.500 0.500 0.813
Te1 Te 0.500 0.500 0.317
```